Entry 1:
This record from Alexandria describes a relaxed structure of Ce10Sn3Te3. The functional is GGA-PBE.

Lattice parameters (Å, degrees): 9.3369 9.3369 6.3431 90.00 90.00 120.00
Atoms (fractional coordinates):
1 Ce 0.0000 0.2580 0.0000
2 Ce 0.0000 0.7418 0.5000
3 Ce 0.2580 0.0000 0.0000
4 Ce 0.2582 0.2582 0.5000
5 Ce 0.3333 0.6667 0.2496
6 Ce 0.3333 0.6667 0.7504
7 Ce 0.6667 0.3333 0.2496
8 Ce 0.6667 0.3333 0.7504
9 Ce 0.7418 0.0000 0.5000
10 Ce 0.7420 0.7420 0.0000
11 Sn 0.0000 0.3836 0.5000
12 Sn 0.3836 0.0000 0.5000
13 Sn 0.6164 0.6164 0.5000
14 Te 0.0000 0.6178 0.0000
15 Te 0.3822 0.3822 0.0000
16 Te 0.6178 0.0000 0.0000

***

Entry 2:
This record from Alexandria describes a relaxed structure of CeSnTe2. The functional is GGA-PBE.

Lattice parameters (Å, degrees): 12.6289 12.6289 4.9172 90.00 90.00 160.78
Atoms (fractional coordinates):
1 Ce 0.0551 0.9449 0.7500
2 Ce 0.9449 0.0551 0.2500
3 Sn 0.3125 0.6875 0.7500
4 Sn 0.6875 0.3125 0.2500
5 Te 0.1845 0.8155 0.7500
6 Te 0.4416 0.5584 0.7500
7 Te 0.5584 0.4416 0.2500
8 Te 0.8155 0.1845 0.2500

***

Entry 3:
This record from Alexandria describes a relaxed structure of Ce3SnTe2. The functional is GGA-PBE.

Lattice parameters (Å, degrees): 7.8095 7.8095 7.8198 99.61 99.61 120.27
Atoms (fractional coordinates):
1 Ce 0.0000 0.5000 0.0000
2 Ce 0.1645 0.3285 0.4988
3 Ce 0.3285 0.1645 0.9988
4 Ce 0.5000 0.0000 0.5000
5 Ce 0.6715 0.8355 0.0012
6 Ce 0.8355 0.6715 0.5012
7 Sn 0.0854 0.9146 0.2500
8 Sn 0.9146 0.0854 0.7500
9 Te 0.2515 0.7485 0.7500
10 Te 0.4169 0.5831 0.2500
11 Te 0.5831 0.4169 0.7500
12 Te 0.7485 0.2515 0.2500

***

Entry 4:
This record from Alexandria describes a relaxed structure of Ce8Sn4Te3. The functional is GGA-PBE.

Lattice parameters (Å, degrees): 8.9592 8.9592 8.8843 119.66 119.66 90.10
Atoms (fractional coordinates):
1 Ce 0.2479 0.7521 0.0000
2 Ce 0.2492 0.2492 0.4950
3 Ce 0.2515 0.2515 0.0019
4 Ce 0.2510 0.7490 0.5000
5 Ce 0.7490 0.2510 0.5000
6 Ce 0.7485 0.7485 0.9981
7 Ce 0.7508 0.7508 0.5050
8 Ce 0.7521 0.2479 0.0000
9 Sn 0.0000 0.0000 0.0000
10 Sn 0.0000 0.5000 0.0000
11 Sn 0.5000 0.0000 0.0000
12 Sn 0.5000 0.5000 0.5000
13 Te 0.0000 0.0000 0.5000
14 Te 0.0000 0.5000 0.5000
15 Te 0.5000 0.0000 0.5000

***

Entry 5:
This record from Alexandria describes a relaxed structure of Ce6SnTe5. The functional is GGA-PBE.

Lattice parameters (Å, degrees): 7.8231 7.8231 7.7486 99.67 99.67 119.98
Atoms (fractional coordinates):
1 Ce 0.0826 0.4134 0.7481
2 Ce 0.2473 0.2473 0.2503
3 Ce 0.4134 0.0826 0.7481
4 Ce 0.5866 0.9174 0.2519
5 Ce 0.7527 0.7527 0.7497
6 Ce 0.9174 0.5866 0.2519
7 Sn 0.0000 0.0000 0.5000
8 Te 0.1680 0.8320 0.0000
9 Te 0.3337 0.6663 0.5000
10 Te 0.5000 0.5000 0.0000
11 Te 0.6663 0.3337 0.5000
12 Te 0.8320 0.1680 0.0000

***

Entry 6:
This record from Alexandria describes a relaxed structure of CeSn5Te7. The functional is GGA-PBE.

Lattice parameters (Å, degrees): 7.8400 7.8400 26.3070 90.04 90.04 32.69
Atoms (fractional coordinates):
1 Ce 0.0000 0.0000 0.0000
2 Ce 0.5847 0.5847 0.5000
3 Sn 0.0489 0.0489 0.6646
4 Sn 0.0794 0.0794 0.3134
5 Sn 0.2335 0.2335 0.8872
6 Sn 0.2688 0.2688 0.0900
7 Sn 0.3160 0.3160 0.5899
8 Sn 0.3511 0.3511 0.3872
9 Sn 0.5050 0.5050 0.8134
10 Sn 0.5357 0.5357 0.1647
11 Sn 0.7807 0.7807 0.7427
12 Sn 0.8036 0.8036 0.2429
13 Te 0.1420 0.1420 0.7772
14 Te 0.1696 0.1696 0.2013
15 Te 0.2317 0.2317 0.4854
16 Te 0.3530 0.3530 0.9855
17 Te 0.4150 0.4150 0.7012
18 Te 0.4426 0.4426 0.2773
19 Te 0.5871 0.5871 0.9210
20 Te 0.6185 0.6185 0.0593
21 Te 0.6752 0.6752 0.6149
22 Te 0.7185 0.7185 0.3472
23 Te 0.8661 0.8661 0.8471
24 Te 0.9096 0.9096 0.1149
25 Te 0.9660 0.9660 0.5591
26 Te 0.9977 0.9977 0.4210

***

Entry 7:
This record from Alexandria describes a relaxed structure of Ce3Sn5Te12. The functional is GGA-PBE.

Lattice parameters (Å, degrees): 15.7058 15.7058 15.7058 109.47 109.47 109.47
Atoms (fractional coordinates):
1 Ce 0.1250 0.2500 0.3750
2 Ce 0.1250 0.3750 0.7500
3 Ce 0.2500 0.3750 0.1250
4 Ce 0.2500 0.8750 0.6250
5 Ce 0.3750 0.1250 0.2500
6 Ce 0.3750 0.7500 0.1250
7 Ce 0.6250 0.2500 0.8750
8 Ce 0.6250 0.8750 0.7500
9 Ce 0.7500 0.1250 0.3750
10 Ce 0.7500 0.6250 0.8750
11 Ce 0.8750 0.6250 0.2500
12 Ce 0.8750 0.7500 0.6250
13 Sn 0.0000 0.0000 0.0000
14 Sn 0.0000 0.0000 0.5000
15 Sn 0.0000 0.5000 0.0000
16 Sn 0.0000 0.5000 0.5000
17 Sn 0.1250 0.7500 0.8750
18 Sn 0.1250 0.8750 0.2500
19 Sn 0.2500 0.1250 0.8750
20 Sn 0.2500 0.6250 0.3750
21 Sn 0.3750 0.2500 0.6250
22 Sn 0.3750 0.6250 0.7500
23 Sn 0.5000 0.0000 0.0000
24 Sn 0.5000 0.0000 0.5000
25 Sn 0.5000 0.5000 0.0000
26 Sn 0.5000 0.5000 0.5000
27 Sn 0.6250 0.3750 0.2500
28 Sn 0.6250 0.7500 0.3750
29 Sn 0.7500 0.3750 0.6250
30 Sn 0.7500 0.8750 0.1250
31 Sn 0.8750 0.1250 0.7500
32 Sn 0.8750 0.2500 0.1250
33 Te 0.0515 0.2225 0.1375
34 Te 0.0515 0.3291 0.9141
35 Te 0.0850 0.7225 0.6709
36 Te 0.0850 0.8625 0.4141
37 Te 0.0859 0.6375 0.4150
38 Te 0.0859 0.9485 0.6709
39 Te 0.1375 0.0515 0.2225
40 Te 0.1375 0.5859 0.9150
41 Te 0.1709 0.2225 0.5850
42 Te 0.1709 0.4485 0.5859
43 Te 0.2225 0.1375 0.0515
44 Te 0.2225 0.5850 0.1709
45 Te 0.2775 0.3291 0.9150
46 Te 0.2775 0.4485 0.3625
47 Te 0.3291 0.9141 0.0515
48 Te 0.3291 0.9150 0.2775
49 Te 0.3625 0.2775 0.4485
50 Te 0.3625 0.5850 0.9141
51 Te 0.4141 0.0850 0.8625
52 Te 0.4141 0.8291 0.5515
53 Te 0.4150 0.0859 0.6375
54 Te 0.4150 0.8291 0.7775
55 Te 0.4485 0.3625 0.2775
56 Te 0.4485 0.5859 0.1709
57 Te 0.5515 0.4141 0.8291
58 Te 0.5515 0.6375 0.7225
59 Te 0.5850 0.1709 0.2225
60 Te 0.5850 0.9141 0.3625
61 Te 0.5859 0.1709 0.4485
62 Te 0.5859 0.9150 0.1375
63 Te 0.6375 0.4150 0.0859
64 Te 0.6375 0.7225 0.5515
65 Te 0.6709 0.0850 0.7225
66 Te 0.6709 0.0859 0.9485
67 Te 0.7225 0.5515 0.6375
68 Te 0.7225 0.6709 0.0850
69 Te 0.7775 0.4150 0.8291
70 Te 0.7775 0.8625 0.9485
71 Te 0.8291 0.5515 0.4141
72 Te 0.8291 0.7775 0.4150
73 Te 0.8625 0.4141 0.0850
74 Te 0.8625 0.9485 0.7775
75 Te 0.9141 0.0515 0.3291
76 Te 0.9141 0.3625 0.5850
77 Te 0.9150 0.1375 0.5859
78 Te 0.9150 0.2775 0.3291
79 Te 0.9485 0.6709 0.0859
80 Te 0.9485 0.7775 0.8625

***

Entry 8:
This record from Alexandria describes a relaxed structure of Ce3SnTe2. The functional is GGA-PBE.

Lattice parameters (Å, degrees): 7.7664 7.7664 7.7664 146.04 131.64 60.40
Atoms (fractional coordinates):
1 Ce 0.0000 0.0000 0.0000
2 Ce 0.3350 0.3350 0.0000
3 Ce 0.6650 0.6650 0.0000
4 Sn 0.5000 0.0000 0.5000
5 Te 0.1674 0.6674 0.5000
6 Te 0.8326 0.3326 0.5000

***

Entry 9:
This record from Alexandria describes a relaxed structure of Ce5SnTe4. The functional is GGA-PBE.

Lattice parameters (Å, degrees): 7.7957 7.7957 7.7957 99.59 99.59 131.82
Atoms (fractional coordinates):
1 Ce 0.0000 0.0000 0.0000
2 Ce 0.2020 0.5999 0.8019
3 Ce 0.4001 0.2020 0.6021
4 Ce 0.5999 0.7980 0.3979
5 Ce 0.7980 0.4001 0.1981
6 Sn 0.5000 0.5000 0.0000
7 Te 0.0991 0.3006 0.3997
8 Te 0.3006 0.9009 0.2015
9 Te 0.6994 0.0991 0.7985
10 Te 0.9009 0.6994 0.6003

***

Entry 10:
This record from Alexandria describes a relaxed structure of CeSnTe2. The functional is GGA-PBE.

Lattice parameters (Å, degrees): 9.9676 9.9676 9.9676 25.19 25.19 25.19
Atoms (fractional coordinates):
1 Ce 0.0000 0.0000 0.0000
2 Sn 0.5000 0.5000 0.5000
3 Te 0.1035 0.1035 0.1035
4 Te 0.8965 0.8965 0.8965

***

Entry 11:
This record from Alexandria describes a relaxed structure of CeSn6Te8. The functional is GGA-PBE.

Lattice parameters (Å, degrees): 11.0895 11.0895 4.8422 90.00 90.00 120.00
Atoms (fractional coordinates):
1 Ce 0.0000 0.0000 0.0000
2 Sn 0.1177 0.6610 0.8257
3 Sn 0.3390 0.4567 0.8257
4 Sn 0.4567 0.1177 0.1743
5 Sn 0.5433 0.8823 0.8257
6 Sn 0.6610 0.5433 0.1743
7 Sn 0.8823 0.3390 0.1743
8 Te 0.0361 0.2839 0.7274
9 Te 0.2478 0.9639 0.7274
10 Te 0.2839 0.2478 0.2726
11 Te 0.3333 0.6667 0.2323
12 Te 0.6667 0.3333 0.7677
13 Te 0.7161 0.7522 0.7274
14 Te 0.7522 0.0361 0.2726
15 Te 0.9639 0.7161 0.2726

***

Entry 12:
This record from Alexandria describes a relaxed structure of Ce2SnTe4. The functional is GGA-PBE.

Lattice parameters (Å, degrees): 8.0083 12.8469 4.6850 90.00 90.00 90.00
Atoms (fractional coordinates):
1 Ce 0.0931 0.1834 0.0000
2 Ce 0.4069 0.6834 0.0000
3 Ce 0.5931 0.3166 0.0000
4 Ce 0.9069 0.8166 0.0000
5 Sn 0.0000 0.5000 0.5000
6 Sn 0.5000 0.0000 0.5000
7 Te 0.1393 0.7219 0.5000
8 Te 0.2452 0.9527 0.0000
9 Te 0.2548 0.4527 0.0000
10 Te 0.3607 0.2219 0.5000
11 Te 0.6393 0.7781 0.5000
12 Te 0.7452 0.5473 0.0000
13 Te 0.7548 0.0473 0.0000
14 Te 0.8607 0.2781 0.5000

***

Entry 13:
This record from Alexandria describes a relaxed structure of Ce4SnTe3. The functional is GGA-PBE.

Values from the calculation:
* distance to the lowest polymorph of the same formula: 0 meV/atom

Lattice parameters (Å, degrees): 6.3553 6.3553 6.3553 90.00 90.00 90.00
Atoms (fractional coordinates):
1 Ce 0.0000 0.0000 0.0000
2 Ce 0.0000 0.5000 0.5000
3 Ce 0.5000 0.0000 0.5000
4 Ce 0.5000 0.5000 0.0000
5 Sn 0.5000 0.5000 0.5000
6 Te 0.0000 0.0000 0.5000
7 Te 0.0000 0.5000 0.0000
8 Te 0.5000 0.0000 0.0000

***

Entry 14:
This record from Alexandria describes a relaxed structure of Ce10Sn6Te. The functional is GGA-PBE.

Lattice parameters (Å, degrees): 9.5163 9.5163 6.5300 90.00 90.00 120.00
Atoms (fractional coordinates):
1 Ce 0.0000 0.2753 0.2564
2 Ce 0.0000 0.7247 0.7436
3 Ce 0.2753 0.0000 0.2564
4 Ce 0.2753 0.2753 0.7436
5 Ce 0.3333 0.6667 0.0000
6 Ce 0.3333 0.6667 0.5000
7 Ce 0.6667 0.3333 0.0000
8 Ce 0.6667 0.3333 0.5000
9 Ce 0.7247 0.0000 0.7436
10 Ce 0.7247 0.7247 0.2564
11 Sn 0.0000 0.3796 0.7513
12 Sn 0.0000 0.6204 0.2487
13 Sn 0.3796 0.0000 0.7513
14 Sn 0.3796 0.3796 0.2487
15 Sn 0.6204 0.0000 0.2487
16 Sn 0.6204 0.6204 0.7513
17 Te 0.0000 0.0000 0.0000

***

Entry 15:
This record from Alexandria describes a relaxed structure of Ce8SnTe5. The functional is GGA-PBE.

Lattice parameters (Å, degrees): 8.1309 8.1309 8.1309 109.49 109.49 109.43
Atoms (fractional coordinates):
1 Ce 0.1225 0.3763 0.6018
2 Ce 0.1245 0.3752 0.1006
3 Ce 0.2746 0.0239 0.8994
4 Ce 0.4794 0.8775 0.2539
5 Ce 0.6237 0.2255 0.7461
6 Ce 0.6248 0.7254 0.7493
7 Ce 0.7745 0.5206 0.3982
8 Ce 0.9761 0.8755 0.2507
9 Sn 0.5000 0.5000 0.0000
10 Te 0.0009 0.6266 0.8781
11 Te 0.2500 0.7500 0.5000
12 Te 0.3734 0.2515 0.3743
13 Te 0.7485 0.1229 0.1219
14 Te 0.8771 0.9991 0.6257

***

Entry 16:
This record from Alexandria describes a relaxed structure of CeSn2Te4. The functional is GGA-PBE.

Lattice parameters (Å, degrees): 7.7608 7.7608 14.6941 90.00 90.00 147.50
Atoms (fractional coordinates):
1 Ce 0.1144 0.8856 0.7500
2 Ce 0.8856 0.1144 0.2500
3 Sn 0.3677 0.6323 0.5649
4 Sn 0.3677 0.6323 0.9351
5 Sn 0.6323 0.3677 0.0649
6 Sn 0.6323 0.3677 0.4351
7 Te 0.0000 0.0000 0.0000
8 Te 0.0000 0.0000 0.5000
9 Te 0.2824 0.7176 0.1262
10 Te 0.2824 0.7176 0.3738
11 Te 0.4657 0.5343 0.7500
12 Te 0.5343 0.4657 0.2500
13 Te 0.7176 0.2824 0.6262
14 Te 0.7176 0.2824 0.8738

***

Entry 17:
This record from Alexandria describes a relaxed structure of Ce3SnTe. The functional is GGA-PBE.

Lattice parameters (Å, degrees): 4.2236 7.8877 9.5705 103.44 97.63 90.80
Atoms (fractional coordinates):
1 Ce 0.0550 0.3987 0.1795
2 Ce 0.1151 0.8863 0.3252
3 Ce 0.2001 0.3743 0.5999
4 Ce 0.7999 0.6257 0.4001
5 Ce 0.8849 0.1137 0.6748
6 Ce 0.9450 0.6013 0.8205
7 Sn 0.4684 0.3149 0.9130
8 Sn 0.5316 0.6851 0.0870
9 Te 0.3841 0.7994 0.6485
10 Te 0.6159 0.2006 0.3515

***

Calculated energy relative to the elements, uncorrected, -11.683 -2.896 -6.715 -11.191 -14.947 -6.181 -11.526 -6.707 -12.222 -0.665 -5.319 -6.936 -9.501 -11.269 -14.452 -4.333 -3.289 eV/f.u. (same order as the records).